(1)
VHgSb2 | GGA-PBE | relaxed

As for the density: 8.18 Mg/m³. For the volume, the calculation gives 25.1 Å³/atom. The value obtained for the total energy is -4.322 eV/atom.

The structure belongs to space group R-3m (No. 166, hexagonal axes); the cell edges are 3.2466, 3.2466 and 33.0307 Å and the angles 90.00°, 90.00° and 120.00°. The asymmetric unit holds V at (0.0000, 0.0000, 0.0000), Hg at (0.0000, 0.0000, 0.5000) and Sb at (0.0000, 0.0000, 0.3951).


(2)
VHg2Sb | GGA-PBE | relaxed

As for the density: 10.00 Mg/m³. For the volume, the calculation gives 23.8 Å³/atom. The value obtained for the total energy is -3.041 eV/atom.

The structure belongs to space group I-42d (No. 122); the cell edges are 8.270, 8.270 and 5.571 Å and the angles 90.00°, 90.00° and 90.00°. The asymmetric unit holds V at (0.000, 0.000, 0.000), Hg at (0.224, 0.750, 0.125) and Sb at (0.000, 0.000, 0.500).


(3)
YVHg2Sb | GGA-PBE | relaxed

As for the density: 8.34 Mg/m³. For the volume, the calculation gives 26.4 Å³/atom. The value obtained for the total energy is -3.903 eV/atom.

The structure belongs to space group P4/mmm (No. 123); the cell edges are 5.133, 5.133 and 5.009 Å and the angles 90.00°, 90.00° and 90.00°. The asymmetric unit holds Y at (0.000, 0.000, 0.000), V at (0.500, 0.500, 0.500), Hg at (0.000, 0.500, 0.500) and Sb at (0.500, 0.500, 0.000).


(4)
HgSbW2 | GGA-PBE | relaxed

As for the density: 13.38 Mg/m³. For the volume, the calculation gives 21.4 Å³/atom. The calculation puts the polymorph energy (0 for the lowest one) at 0.47 kcal/mol of atoms. The value obtained for the total energy is -7.115 eV/atom.

The structure belongs to space group Pm (No. 6); the cell edges are 3.226, 3.242 and 8.341 Å and the angles 90.00°, 100.98° and 90.00°. The asymmetric unit holds Hg at (0.000, 0.000, 0.000), Sb at (0.185, 0.500, 0.360), W at (0.380, 0.500, 0.754) and W at (0.798, 0.000, 0.593).


(5)
Hg2SbW | GGA-PBE | relaxed

As for the density: 14.12 Mg/m³. For the volume, the calculation gives 20.8 Å³/atom. The value obtained for the total energy is -3.599 eV/atom.

The structure belongs to space group I-4m2 (No. 119); the cell edges are 4.339, 4.339 and 8.828 Å and the angles 90.00°, 90.00° and 90.00°. The asymmetric unit holds Hg at (0.000, 0.000, 0.000), Hg at (0.000, 0.500, 0.250), Sb at (0.000, 0.500, 0.750) and W at (0.000, 0.000, 0.500).


(6)
Hg2SbW | GGA-PBE | relaxed

As for the density: 13.38 Mg/m³. For the volume, the calculation gives 21.9 Å³/atom. The value obtained for the total energy is -3.625 eV/atom.

The structure belongs to space group P2/m (No. 10); the cell edges are 3.052, 5.452 and 5.457 Å and the angles 90.00°, 104.95° and 90.00°. The asymmetric unit holds Hg at (0.167, 0.000, 0.265), Sb at (0.500, 0.500, 0.000) and W at (0.500, 0.500, 0.500).